Density functional theory data (PBE) for a relaxed YTh2ZrN4 crystal.

Results
Electronic total energy = -9.479 eV per atom
Formation energy from raw total energies = -1585 meV per atom

Cell: 3.490 6.068 6.121 Å, 109.17 90.00 90.00°
Fractional coordinates of all 8 atoms:
Y 0.500 0.500 0.000
N 0.500 0.233 0.228
N 0.000 0.245 0.766
N 0.500 0.767 0.772
Zr 0.000 0.000 0.000
Th 0.500 0.000 0.500
Th 0.000 0.500 0.500
N 0.000 0.755 0.234